# 1
8
Lattice="6.523 0.000 0.000 0.000 3.788 0.000 -2.214 0.000 6.190" Properties=species:S:1:pos:R:3 comment="Er2ZrScS4 (PBE, optimized geometry)" rho_g_cm3=6.5 e_form_raw_ev_per_atom=-1.783 pbc="T T T"
Er 0.000 0.000 0.000
Er -1.107 1.894 3.095
Zr 2.155 0.000 3.095
Sc 3.262 1.894 0.000
S 1.132 1.894 1.544
S 0.026 0.000 4.683
S 4.284 0.000 1.507
S 3.177 1.894 4.645

***

# 2
5
Lattice="4.211 0.000 0.000 0.000 4.211 0.000 0.000 0.000 4.973" Properties=species:S:1:pos:R:3 comment="ScCr2SiCl (PBE, optimized geometry)" rho_g_cm3=4.0 e_form_raw_ev_per_atom=0.645 pbc="T T T"
Sc 0.000 0.000 0.000
Cr 0.000 2.105 2.486
Cr 2.105 0.000 2.486
Si 2.105 2.105 0.000
Cl 2.105 2.105 2.486

***

# 3
4
Lattice="-2.171 2.171 5.025 2.171 -2.171 5.025 2.171 2.171 -5.025" Properties=species:S:1:pos:R:3 comment="Y2ZrMo (PBE, optimized geometry)" ef_ev_per_atom=0.375 rho_g_cm3=6.4 relative_energy_kcal_per_mol_atoms=5.83 pbc="T T T"
Y 2.171 0.000 2.512
Y 0.000 2.171 2.512
Zr 0.000 0.000 0.000
Mo 0.000 0.000 5.025